{
  "formula": "MgBe2Cu",
  "functional": "GGA-PBE",
  "state": "optimized geometry",
  "lattice": [[4.8078, -0.0339, 0.0418], [-2.1851, 4.2827, 0.0418], [0.4756, 0.7704, 2.3540]],
  "species": ["Be", "Mg", "Cu", "Be"],
  "fractional_positions": [[0.5000, 0.5000, 0.0000], [0.0000, 0.5000, 0.5000], [0.5000, 0.0000, 0.5000], [0.0000, 0.0000, 0.0000]],
  "e_form_ev_per_atom": 0.2829,
  "total_magnetization_mub_per_cell": 0.00,
  "space_group": "C2/m",
  "dos_ef_per_ev_fu": 0.45
}